[1]
# Tb2YTm5 | the Alexandria database | PBE-GGA | relaxed
# ΔE_f in meV per atom: 23
# Crystal system: orthorhombic
data_Tb2YTm5
_space_group_name_H-M_alt 'P b a m'
_space_group_IT_number 55
_cell_length_a 7.0318
_cell_length_b 14.0653
_cell_length_c 4.9645
_cell_angle_alpha 90.00
_cell_angle_beta 90.00
_cell_angle_gamma 90.00
loop_
_space_group_symop_operation_xyz
'x,y,z'
'-x,-y,-z'
'-x,-y,z'
'x,y,-z'
'x+1/2,-y+1/2,-z'
'-x+1/2,y+1/2,z'
'-x+1/2,y+1/2,-z'
'x+1/2,-y+1/2,z'
loop_
_atom_site_label
_atom_site_type_symbol
_atom_site_fract_x
_atom_site_fract_y
_atom_site_fract_z
Tb1 Tb 0.2491 0.1255 0.0000
Y1 Y 0.0000 0.5000 0.5000
Tm1 Tm 0.0000 0.0000 0.5000
Tm2 Tm 0.9999 0.2492 0.5000
Tm3 Tm 0.2505 0.3744 0.0000

=====

[2]
# Tb2YTm8 | the Alexandria database | PBE-GGA | relaxed
# ΔE_f in meV per atom: 180
# Crystal system: monoclinic
data_Tb2YTm8
_space_group_name_H-M_alt 'C 1 2/m 1'
_space_group_IT_number 12
_cell_length_a 16.3826
_cell_length_b 6.5412
_cell_length_c 6.5510
_cell_angle_alpha 90.00
_cell_angle_beta 100.25
_cell_angle_gamma 90.00
loop_
_space_group_symop_operation_xyz
'x,y,z'
'-x,-y,-z'
'-x,y,-z'
'x,-y,z'
'x+1/2,y+1/2,z'
'-x+1/2,-y+1/2,-z'
'-x+1/2,y+1/2,-z'
'x+1/2,-y+1/2,z'
loop_
_atom_site_label
_atom_site_type_symbol
_atom_site_fract_x
_atom_site_fract_y
_atom_site_fract_z
Tb1 Tb 0.2438 0.0000 0.3119
Y1 Y 0.0000 0.0000 0.0000
Tm1 Tm 0.0881 0.2619 0.4061
Tm2 Tm 0.0883 0.5000 0.9028
Tm3 Tm 0.2033 0.0000 0.8019

=====

[3]
# Tb5Y2Tm4 | the Alexandria database | PBE-GGA | relaxed
# ΔE_f in meV per atom: 171
# Crystal system: monoclinic
data_Tb5Y2Tm4
_space_group_name_H-M_alt 'C 1 2/m 1'
_space_group_IT_number 12
_cell_length_a 16.5122
_cell_length_b 6.6048
_cell_length_c 6.5862
_cell_angle_alpha 90.00
_cell_angle_beta 100.83
_cell_angle_gamma 90.00
loop_
_space_group_symop_operation_xyz
'x,y,z'
'-x,-y,-z'
'-x,y,-z'
'x,-y,z'
'x+1/2,y+1/2,z'
'-x+1/2,-y+1/2,-z'
'-x+1/2,y+1/2,-z'
'x+1/2,-y+1/2,z'
loop_
_atom_site_label
_atom_site_type_symbol
_atom_site_fract_x
_atom_site_fract_y
_atom_site_fract_z
Tb1 Tb 0.0000 0.0000 0.0000
Tb2 Tb 0.0882 0.2641 0.4037
Y1 Y 0.2027 0.0000 0.8083
Tm1 Tm 0.0889 0.5000 0.9040
Tm2 Tm 0.2447 0.0000 0.3192

=====

[4]
# TbY5Tm3 | the Alexandria database | PBE-GGA | relaxed
# ΔE_f in meV per atom: 300
# Crystal system: tetragonal
data_TbY5Tm3
_space_group_name_H-M_alt 'I 4/m c m'
_space_group_IT_number 140
_space_group_name_Hall '-I 4 2c'
_cell_length_a 8.8920
_cell_length_b 8.8920
_cell_length_c 14.6661
_cell_angle_alpha 90.00
_cell_angle_beta 90.00
_cell_angle_gamma 90.00
loop_
_atom_site_label
_atom_site_type_symbol
_atom_site_fract_x
_atom_site_fract_y
_atom_site_fract_z
Tb1 Tb 0.0000 0.5000 0.2500
Y1 Y 0.0000 0.0000 0.0000
Y2 Y 0.2027 0.2973 0.1322
Tm1 Tm 0.0000 0.0000 0.2500
Tm2 Tm 0.1126 0.3874 0.5000

=====

[5]
# Tb5Y3Tm | the Alexandria database | PBE-GGA | relaxed
# ΔE_f in meV per atom: 210
# Crystal system: monoclinic
data_Tb5Y3Tm
_space_group_name_H-M_alt 'C 1 2/c 1'
_space_group_IT_number 15
_cell_length_a 16.2000
_cell_length_b 6.6742
_cell_length_c 11.6804
_cell_angle_alpha 90.00
_cell_angle_beta 108.27
_cell_angle_gamma 90.00
loop_
_space_group_symop_operation_xyz
'x,y,z'
'-x,-y,-z'
'-x,y,-z+1/2'
'x,-y,z+1/2'
'x+1/2,y+1/2,z'
'-x+1/2,-y+1/2,-z'
'-x+1/2,y+1/2,-z+1/2'
'x+1/2,-y+1/2,z+1/2'
loop_
_atom_site_label
_atom_site_type_symbol
_atom_site_fract_x
_atom_site_fract_y
_atom_site_fract_z
Tb1 Tb 0.0000 0.1903 0.2500
Tb2 Tb 0.1825 0.4419 0.4477
Tb3 Tb 0.2141 0.2017 0.7642
Y1 Y 0.0000 0.5000 0.0000
Y2 Y 0.1088 0.0530 0.0141
Tm1 Tm 0.0000 0.3005 0.7500

=====

[6]
# Tb8YTm2 | the Alexandria database | PBE-GGA | relaxed
# ΔE_f in meV per atom: 130
# Crystal system: monoclinic
data_Tb8YTm2
_space_group_name_H-M_alt 'C 1 2/m 1'
_space_group_IT_number 12
_cell_length_a 10.9983
_cell_length_b 7.3435
_cell_length_c 9.1637
_cell_angle_alpha 90.00
_cell_angle_beta 106.48
_cell_angle_gamma 90.00
loop_
_space_group_symop_operation_xyz
'x,y,z'
'-x,-y,-z'
'-x,y,-z'
'x,-y,z'
'x+1/2,y+1/2,z'
'-x+1/2,-y+1/2,-z'
'-x+1/2,y+1/2,-z'
'x+1/2,-y+1/2,z'
loop_
_atom_site_label
_atom_site_type_symbol
_atom_site_fract_x
_atom_site_fract_y
_atom_site_fract_z
Tb1 Tb 0.0699 0.2199 0.2812
Tb2 Tb 0.1715 0.0000 0.6230
Tb3 Tb 0.1809 0.0000 0.9995
Y1 Y 0.0000 0.5000 0.0000
Tm1 Tm 0.1443 0.5000 0.6222

=====

[7]
# Tb12Y7Tm | the Alexandria database | PBE-GGA | relaxed
# ΔE_f in meV per atom: 296
# Crystal system: trigonal
data_Tb12Y7Tm
_space_group_name_H-M_alt 'R -3'
_space_group_IT_number 148
_space_group_name_Hall '-R 3'
_cell_length_a 12.8331
_cell_length_b 12.8331
_cell_length_c 13.7514
_cell_angle_alpha 90.00
_cell_angle_beta 90.00
_cell_angle_gamma 120.00
loop_
_atom_site_label
_atom_site_type_symbol
_atom_site_fract_x
_atom_site_fract_y
_atom_site_fract_z
Tb1 Tb 0.0024 0.4363 0.2480
Tb2 Tb 0.0680 0.1996 0.3448
Y1 Y 0.0000 0.0000 0.5000
Y2 Y 0.0675 0.8674 0.8516
Tm1 Tm 0.0000 0.0000 0.0000

=====

[8]
# Tb2YTm7 | the Alexandria database | PBE-GGA | relaxed
# ΔE_f in meV per atom: 55
# Crystal system: triclinic
data_Tb2YTm7
_space_group_name_H-M_alt 'P -1'
_space_group_IT_number 2
_cell_length_a 5.5015
_cell_length_b 7.0005
_cell_length_c 8.6521
_cell_angle_alpha 78.27
_cell_angle_beta 71.47
_cell_angle_gamma 89.95
loop_
_space_group_symop_operation_xyz
'x,y,z'
'-x,-y,-z'
loop_
_atom_site_label
_atom_site_type_symbol
_atom_site_fract_x
_atom_site_fract_y
_atom_site_fract_z
Tb1 Tb 0.2134 0.3549 0.0732
Y1 Y 0.0000 0.5000 0.5000
Tm1 Tm 0.0000 0.0000 0.5000
Tm2 Tm 0.2123 0.8574 0.0755
Tm3 Tm 0.4009 0.7028 0.6981
Tm4 Tm 0.4025 0.1989 0.6947

=====

For the records above, the corresponding electronic total energy values read -4.738, -4.502, -4.735, -5.296, -5.014, -4.638, -4.968, -4.648 eV/atom.
For the records above, the corresponding calculated volume values read 245.5, 345.4, 352.7, 289.9, 299.8, 354.9, 653.8, 308.6 Å³/f.u..
For the records above, the corresponding N(E_F) values read 19.33, 35.53, 35.93, 47.56, 52.86, 37.38, 57.79, 20.69 states/eV/cell.